Density functional theory data (PBE-GGA) for a relaxed Ce2HfNp3P6 crystal.

Cell: 6.8694 6.8694 6.8294 Å, 99.68 99.68 119.97°
Fractional coordinates of all 12 atoms:
Ce: 0.3348 0.6652 0.0000
Ce: 0.6652 0.3348 0.0000
Hf: 0.0000 0.0000 0.0000
Np: 0.1711 0.8289 0.5000
Np: 0.8289 0.1711 0.5000
Np: 0.5000 0.5000 0.5000
P: 0.9178 0.5996 0.7518
P: 0.7676 0.7676 0.2544
P: 0.0822 0.4004 0.2482
P: 0.5996 0.9178 0.7518
P: 0.2324 0.2324 0.7456
P: 0.4004 0.0822 0.2482

## Properties
- Energy of formation: -1145 meV per atom
- Total magnetic moment: 12.601 μB per formula unit
- Energy: -106.84 eV per formula unit


Density functional theory data (PBE-GGA) for a relaxed PmHo2ErTe6 crystal.

Cell: 7.7155 7.7155 8.3214 Å, 62.38 62.39 60.00°
Fractional coordinates of all 10 atoms:
Pm: 0.8208 0.8208 0.5375
Ho: 0.5094 0.5094 0.4718
Ho: 0.0077 0.0077 0.9770
Er: 0.3231 0.3231 0.0306
Te: 0.6014 0.2357 0.2473
Te: 0.2358 0.9156 0.2473
Te: 0.9155 0.6014 0.2473
Te: 0.4043 0.7306 0.7522
Te: 0.7306 0.1130 0.7521
Te: 0.1130 0.4043 0.7521

## Properties
- Total magnetic moment: 0.000 μB per formula unit
- Energy: -50.88 eV per formula unit
- Uncorrected formation energy: -13.56 eV per formula unit


Density functional theory data (PBE-GGA) for a relaxed BaGa2SeO crystal.

Cell: 6.8579 5.8478 6.8579 Å, 90.00 90.00 90.00°
Fractional coordinates of all 5 atoms:
O: 0.5000 0.5000 0.5000
Ga: 0.0000 0.0000 0.5000
Ga: 0.5000 0.0000 0.0000
Ba: 0.0000 0.0000 0.0000
Se: 0.0000 0.5000 0.0000

## Properties
- Total magnetic moment: 1.170 μB per formula unit
- Energy: -12.29 eV per formula unit
- Uncorrected formation energy: 4.13 eV per formula unit


Density functional theory data (PBE-GGA) for a relaxed AsSe2Br crystal.

Cell: 3.9300 5.2798 6.4293 Å, 53.53 90.00 90.00°
Fractional coordinates of all 4 atoms:
As: 0.5000 0.2500 0.2500
Se: 0.0000 0.0260 0.0970
Se: 0.0000 0.4740 0.4030
Br: 0.5000 0.7500 0.7500

## Properties
- ΔE to the lowest computed polymorph: 5.3 kJ/mol of atoms
- Total magnetic moment: 0.000 μB per formula unit
- Energy: -13.68 eV per formula unit
- Uncorrected formation energy: -0.39 eV per formula unit


Density functional theory data (PBE-GGA) for a relaxed RbCr3Ni crystal.

Cell: 4.3373 4.3373 4.3373 Å, 90.00 90.00 90.00°
Fractional coordinates of all 5 atoms:
Ni: 0.5000 0.5000 0.5000
Rb: 0.0000 0.0000 0.0000
Cr: 0.0000 0.5000 0.0000
Cr: 0.0000 0.0000 0.5000
Cr: 0.5000 0.0000 0.0000

## Properties
- ΔE to the lowest computed polymorph: 183.8 kJ/mol of atoms
- Energy of formation: 3163 meV per atom
- Total magnetic moment: 0.000 μB per formula unit
- Energy: -19.81 eV per formula unit


Density functional theory data (PBE-GGA) for a relaxed NaErAu4 crystal.

Cell: 5.5949 5.5949 5.5949 Å, 60.00 60.00 60.00°
Fractional coordinates of all 6 atoms:
Na: 0.2500 0.2500 0.2500
Au: 0.6247 0.6247 0.1259
Au: 0.6247 0.1259 0.6247
Au: 0.6247 0.6247 0.6247
Au: 0.1259 0.6247 0.6247
Er: 0.0000 0.0000 0.0000

## Properties
- Energy of formation: -421 meV per atom
- Total magnetic moment: 0.000 μB per formula unit
- Energy: -21.52 eV per formula unit


Density functional theory data (PBE-GGA) for a relaxed PmDyInHg crystal.

Cell: 5.3704 5.3704 5.3704 Å, 60.00 60.00 60.00°
Fractional coordinates of all 4 atoms:
Pm: 0.5000 0.5000 0.5000
In: 0.2500 0.2500 0.2500
Hg: 0.7500 0.7500 0.7500
Dy: 0.0000 0.0000 0.0000

## Properties
- Energy of formation: -467 meV per atom
- Total magnetic moment: 0.412 μB per formula unit
- Energy: -14.26 eV per formula unit


Density functional theory data (PBE-GGA) for a relaxed Li3ThCu8 crystal.

Cell: 5.0264 5.0264 8.6890 Å, 73.19 73.19 60.00°
Fractional coordinates of all 12 atoms:
Li: 0.3720 0.3720 0.8839
Li: 0.0073 0.0073 0.9780
Li: 0.4844 0.4844 0.5466
Th: 0.8764 0.8764 0.3708
Cu: 0.9418 0.4416 0.1750
Cu: 0.4339 0.9375 0.6910
Cu: 0.4416 0.4416 0.1750
Cu: 0.9375 0.9375 0.6910
Cu: 0.1867 0.1867 0.4400
Cu: 0.6891 0.6891 0.9326
Cu: 0.4416 0.9418 0.1750
Cu: 0.9375 0.4339 0.6910

## Properties
- ΔE to the lowest computed polymorph: 0.2 kJ/mol of atoms
- Energy of formation: -82 meV per atom
- Total magnetic moment: 0.000 μB per formula unit
- Energy: -46.91 eV per formula unit